DFT (PBE) results for crystalline Cs3Th3MnSe8 at its relaxed geometry.

Structure (POSCAR):
```
Cs3Th3MnSe8
1.0
-7.886 -3.079 0.838
6.169 -2.623 5.233
-3.393 9.142 1.673
Cs Th Se Mn
3 3 8 1
Cartesian
-0.858 -2.851 3.036
3.085 -1.312 2.617
0.000 0.000 0.000
-2.555 1.720 3.872
1.388 3.259 3.453
-5.640 3.032 1.256
-3.792 -0.925 4.103
0.163 0.544 3.534
-2.909 2.006 0.979
-6.963 0.423 1.410
-1.318 4.365 3.641
-2.200 1.434 6.765
1.854 3.017 6.335
-5.272 2.896 4.210
-1.696 4.571 0.837
```

Computed properties:
Total magnetization in μB/atom: 0.307
Total energy in eV per atom: -5.54
Crystal system: trigonal